# 1
Sc2H4Ir | PBE | optimized geometry

V (Å³ per cell): 142.1
Total magnetic moment (μB per formula unit): 0.60
Final energy (eV/atom): -5.36

Cell: 3.5449 3.5449 11.3090 Å, 90.00 90.00 90.00°
Space group I4/mmm (No. 139)
Symmetry-distinct sites (fractional):
Sc: 0.0000 0.0000 0.1518 (multiplicity 4)
H: 0.0000 0.0000 0.3444 (multiplicity 4)
H: 0.0000 0.5000 0.0000 (multiplicity 4)
Ir: 0.0000 0.0000 0.5000 (multiplicity 2)

# 2
Ag4HgSe | PBE | optimized geometry

E_form (uncorrected) (eV per atom): 0.18
V (Å³ per cell): 494.0
Total magnetic moment (μB per formula unit): 0.00
Final energy (eV/atom): -2.35

Cell: 7.9049 7.9049 7.9049 Å, 90.00 90.00 90.00°
Space group F-43m (No. 216)
Symmetry-distinct sites (fractional):
Ag: 0.1246 0.1246 0.1246 (multiplicity 16)
Hg: 0.2500 0.2500 0.7500 (multiplicity 4)
Se: 0.0000 0.0000 0.5000 (multiplicity 4)